VASP calculation (PBE) on an optimized crystal structure of Zr3Si.

Results
The uncorrected formation energy is -188 meV per atom. The calculation puts the density of states at the Fermi level at 1.05 states/eV per atom. The crystal system is orthorhombic. The value obtained for the total energy is -7.955 eV/atom. The volume comes out at 165 Å³ per cell. The space-group type is Cmcm.

Cell: 5.7212 5.7212 5.1478 Å, 90.00 90.00 78.34°
Last column: nearest neighbours and their distance in Å.
Element x y z (fractional)
Zr1 0.0913 0.3419 0.7500  2 Si 2.81-2.96, 4 Zr 2.83-3.15
Zr2 0.1938 0.8062 0.7500  4 Zr 2.83-3.00, 3 Si 2.87-3.01
Zr3 0.3419 0.0913 0.2500  2 Si 2.81-2.96, 4 Zr 2.83-3.15
Zr4 0.6581 0.9087 0.7500  2 Si 2.81-2.96, 4 Zr 2.83-3.15
Zr5 0.8062 0.1938 0.2500  4 Zr 2.83-3.00, 3 Si 2.87-3.01
Zr6 0.9087 0.6581 0.2500  2 Si 2.81-2.96, 4 Zr 2.83-3.15
Si1 0.4090 0.5910 0.2500  7 Zr 2.81-3.01, 2 Si 2.89
Si2 0.5910 0.4090 0.7500  7 Zr 2.81-3.01, 2 Si 2.89